# Ac2Tb7Pr2

A relaxed Ac2Tb7Pr2 crystal (PBE-GGA, Alexandria via LeMat-Bulk).

Cell: 17.9052 12.0265 3.7400 Å, 90.00 102.01 90.00°
Space group C2/m (No. 12)
Asymmetric unit:
Ac: 0.1935 0.0000 0.1929 x4
Tb: 0.0000 0.0000 0.5000 x2
Tb: 0.1106 0.5000 0.1121 x4
Tb: 0.1681 0.2654 0.6679 x8
Pr: 0.0000 0.2506 0.0000 x4

E = -4.433 eV per atom
ΔE_f = 0.13 eV per atom
Spin magnetization = 0.00 μB per cell
Crystal system = monoclinic